(1)
Material: CaPaGePt
Method: DFT, PBE-GGA
State: relaxed

extended XYZ file:
```
4
Lattice="-1.2587 -2.9327 3.8716 1.3833 -4.8227 0.0477 3.5238 -1.5675 3.2094" Properties=species:S:1:pos:R:3 pbc="T T T"
Ca 1.8242 -4.6614 3.5643
Ge 0.9121 -2.3307 1.7822
Pt 2.7363 -6.9922 5.3465
Pa 0.0000 0.0000 0.0000
```

## Properties
Calculated formation energy, eV per atom: -0.574


(2)
Material: RbTlPd2
Method: DFT, PBE-GGA
State: relaxed

extended XYZ file:
```
4
Lattice="0.0000 3.5914 3.5914 3.5914 0.0000 3.5914 3.5914 3.5914 0.0000" Properties=species:S:1:pos:R:3 pbc="T T T"
Rb 0.0000 0.0000 0.0000
Pd 1.7957 1.7957 1.7957
Pd 5.3870 5.3870 5.3870
Tl 3.5914 3.5914 3.5914
```

## Properties
Calculated formation energy, eV per atom: 0.223
Energy above the most stable polymorph in this dataset, meV/atom: 391


(3)
Material: TaHg2Pb
Method: DFT, PBE-GGA
State: relaxed

extended XYZ file:
```
4
Lattice="5.8969 0.0064 0.0000 2.9496 5.1062 0.0000 -4.4232 -2.5563 2.9451" Properties=species:S:1:pos:R:3 pbc="T T T"
Hg 4.4232 2.5563 0.0000
Pb 1.4748 2.5531 1.4726
Hg 0.0000 0.0000 0.0000
Ta 2.9485 0.0032 1.4726
```

## Properties
Calculated formation energy, eV per atom: 0.586


(4)
Material: YSc2Ta
Method: DFT, PBE-GGA
State: relaxed

extended XYZ file:
```
4
Lattice="-1.5775 4.3130 1.9697 -1.9160 0.3992 -2.4085 -5.3131 -2.7529 1.7728" Properties=species:S:1:pos:R:3 pbc="T T T"
Ta -3.3359 -1.0938 -0.2766
Sc -2.3218 1.4365 1.3337
Sc -0.4225 0.0313 -0.4068
Y -6.3410 0.4085 0.3658
```

## Properties
Calculated formation energy, eV per atom: 0.226
Energy above the most stable polymorph in this dataset, meV/atom: 69


(5)
Material: Ag6HgPd3
Method: DFT, PBE-GGA
State: relaxed

extended XYZ file:
```
20
Lattice="5.0746 0.0000 0.0000 0.0000 9.1065 -1.5695 0.0000 -3.5620 8.5266" Properties=species:S:1:pos:R:3 pbc="T T T"
Pd 2.2462 2.1081 0.1595
Ag 0.1536 4.2164 4.1768
Ag 1.6951 -1.2153 3.6785
Ag 0.7959 5.2130 1.5334
Ag 2.6909 3.1306 5.0422
Ag 2.1637 8.3986 -1.0053
Hg 0.9226 -0.8271 6.3470
Ag 0.1536 2.4138 1.9149
Pd 4.7835 -0.3149 2.0905
Pd 4.7835 3.4364 6.7975
Ag 3.3332 0.3314 5.4237
Ag 1.6951 1.6874 7.3209
Ag 4.7010 -2.8541 7.9624
Pd 3.0776 4.1378 2.3902
Pd 2.2462 5.8593 4.8666
Pd 0.5403 1.4066 4.5668
Ag 4.2324 6.7598 3.2785
Ag 2.6909 1.3280 2.7803
Ag 4.2324 3.8570 -0.3638
Hg 3.4599 6.3716 0.6101
```

## Properties
Calculated formation energy, eV per atom: 0.087
Energy above the most stable polymorph in this dataset, meV/atom: 0


(6)
Material: CePr8Ho6
Method: DFT, PBE-GGA
State: relaxed

extended XYZ file:
```
15
Lattice="-0.5953 0.5194 8.7479 -7.6358 -2.3565 3.6456 -0.1461 -7.5628 4.4645" Properties=species:S:1:pos:R:3 pbc="T T T"
Pr -6.2471 -2.2981 9.5306
Pr -1.4423 -5.2740 10.2588
Pr -6.9349 -4.1259 6.5992
Pr -2.7494 -2.0290 9.8483
Ho -6.1355 -8.3762 10.8229
Pr -4.8454 -5.4370 9.7507
Pr -2.1301 -7.1019 7.3274
Ho -0.9484 -4.1583 4.9299
Ho -7.4288 -5.2416 11.9281
Ce 0.0000 0.0000 0.0000
Ho -2.2416 -1.0238 6.0351
Pr -3.5318 -3.9630 7.1073
Ho -4.1975 -3.1073 3.9014
Ho -4.1797 -6.2926 12.9566
Pr -5.6278 -7.3710 7.0097
```

## Properties
Calculated formation energy, eV per atom: 0.129


(7)
Material: ScPb3Cl
Method: DFT, PBE-GGA
State: relaxed

extended XYZ file:
```
5
Lattice="-3.9131 -0.2851 -4.1363 1.9038 -5.1760 -1.4444 -3.6831 -2.3727 3.6479" Properties=species:S:1:pos:R:3 pbc="T T T"
Pb -1.9565 -0.1425 -2.0681
Pb 0.9519 -2.5880 -0.7222
Cl -2.8462 -3.9169 -0.9664
Sc 0.0000 0.0000 0.0000
Pb -1.8416 -1.1863 1.8239
```

## Properties
Energy above the most stable polymorph in this dataset, meV/atom: 0
Raw formation energy, eV/atom: 0.17


(8)
Material: Ba2InB
Method: DFT, PBE-GGA
State: relaxed

extended XYZ file:
```
4
Lattice="3.6128 0.0681 4.4359 3.1615 4.6531 1.0434 -1.1315 3.2635 4.5612" Properties=species:S:1:pos:R:3 pbc="T T T"
Ba 4.2321 5.9885 7.5304
In 2.8214 3.9923 5.0203
B 0.0000 0.0000 0.0000
Ba 1.4107 1.9962 2.5101
```

## Properties
Calculated formation energy, eV per atom: 0.487
Energy above the most stable polymorph in this dataset, meV/atom: 221